# PBE SrNi4Sb, optimized geometry
data_SrNi4Sb
_chemical_formula_sum 'Sr4 Ni16 Sb4'
_space_group_name_H-M_alt 'F -4 3 m'
_space_group_IT_number 216
_space_group_name_Hall 'F -4 2 3'
_cell_length_a 7.217
_cell_length_b 7.217
_cell_length_c 7.217
_cell_angle_alpha 90.00
_cell_angle_beta 90.00
_cell_angle_gamma 90.00
loop_
_atom_site_label
_atom_site_fract_x
_atom_site_fract_y
_atom_site_fract_z
_atom_site_occupancy
Sr1 0.000 0.000 0.000 1
Ni1 0.124 0.124 0.624 1
Sb1 0.250 0.250 0.250 1
# ΔE_f (raw): -0.020 eV per atom